a) First-principles (PBE-GGA) data for an optimized crystal structure of ScSb3Rh, as listed in the Alexandria database.

CIF file:
```
data_ScSb3Rh
_chemical_formula_sum 'Sc1 Sb3 Rh1'
_symmetry_space_group_name_H-M 'P m -3 m'
_symmetry_Int_Tables_number 221
_symmetry_space_group_name_Hall '-P 4 2 3'
_cell_length_a 5.334
_cell_length_b 5.334
_cell_length_c 5.334
_cell_angle_alpha 90.00
_cell_angle_beta 90.00
_cell_angle_gamma 90.00
loop_
_atom_site_label
_atom_site_type_symbol
_atom_site_fract_x
_atom_site_fract_y
_atom_site_fract_z
Sc1 Sc 0.000 0.000 0.000
Sb1 Sb 0.000 0.000 0.500
Rh1 Rh 0.500 0.500 0.500
```



b) First-principles (PBE-GGA) data for an optimized crystal structure of ScSb3Rh, as listed in the Alexandria database.

CIF file:
```
data_ScSb3Rh
_chemical_formula_sum 'Sc1 Sb3 Rh1'
_symmetry_space_group_name_H-M 'P m -3 m'
_symmetry_Int_Tables_number 221
_symmetry_space_group_name_Hall '-P 4 2 3'
_cell_length_a 5.151
_cell_length_b 5.151
_cell_length_c 5.151
_cell_angle_alpha 90.00
_cell_angle_beta 90.00
_cell_angle_gamma 90.00
loop_
_atom_site_label
_atom_site_type_symbol
_atom_site_fract_x
_atom_site_fract_y
_atom_site_fract_z
Sc1 Sc 0.000 0.000 0.000
Sb1 Sb 0.000 0.500 0.500
Rh1 Rh 0.500 0.500 0.500
```



Least stable structure among those shown: a).